[1]
# YNbBr

A relaxed structure of YNbBr (PBE, the Alexandria database).

Unit cell a=3.5475 b=3.5475 c=12.3515 alpha=90.00 beta=90.00 gamma=90.00
Last column: nearest neighbours and their distance in Å.
Sites, in units of the cell vectors:
Y  0.2500  0.2500  0.2156  4 Br 3.06, 5 Nb 3.23-3.30
Y  0.7500  0.7500  0.7844  4 Br 3.06, 5 Nb 3.23-3.30
Nb  0.2500  0.2500  0.9486  4 Nb 2.81
Nb  0.7500  0.7500  0.0514  4 Nb 2.81
Br  0.2500  0.2500  0.6428  4 Y 3.06
Br  0.7500  0.7500  0.3572  4 Y 3.06

Calculated values
**Fermi-level density of states**: 5.86 states/eV per cell
**Formation energy (no corrections)**: -647 meV/atom
**Space-group type**: P4/nmm (129)

---

[2]
# SnOsSN2

A relaxed structure of SnOsSN2 (PBE, the Alexandria database).

Unit cell a=3.8831 b=3.8831 c=5.1166 alpha=90.00 beta=90.00 gamma=90.00
Last column: nearest neighbours and their distance in Å.
Sites, in units of the cell vectors:
Sn  0.0000  0.0000  0.0000  4 S 2.75
Os  0.5000  0.5000  0.5000  4 N 1.94
S  0.5000  0.5000  0.0000  2 Os 2.56, 4 Sn 2.75
N  0.0000  0.5000  0.5000  2 Os 1.94
N  0.5000  0.0000  0.5000  2 Os 1.94

Calculated values
**Fermi-level density of states**: 2.41 states/eV per cell
**Formation energy (no corrections)**: 515 meV/atom
**Space-group type**: P4/mmm (123)

---

[3]
# Ag5Te2Cl2

A relaxed structure of Ag5Te2Cl2 (PBE, the Alexandria database).

Unit cell a=13.6574 b=13.6574 c=13.6574 alpha=37.75 beta=149.15 gamma=158.78
Last column: nearest neighbours and their distance in Å.
Sites, in units of the cell vectors:
Ag  0.0404  0.5339  0.7982  3 Te 2.82-2.89, 1 Cl 2.83, 3 Ag 2.89-2.95
Ag  0.0404  0.7422  0.0065  3 Te 2.82-2.89, 1 Cl 2.83, 3 Ag 2.89-2.95
Ag  0.1471  0.0721  0.2191  1 Cl 2.50, 1 Te 2.78
Ag  0.1471  0.4279  0.5750  1 Cl 2.50, 1 Te 2.78
Ag  0.2303  0.1171  0.6132  3 Cl 2.77-2.87, 2 Te 2.88, 2 Ag 3.00
Ag  0.5039  0.6171  0.3868  3 Cl 2.77-2.87, 2 Te 2.88, 2 Ag 3.00
Ag  0.7357  0.0339  0.9935  3 Te 2.82-2.89, 1 Cl 2.83, 3 Ag 2.89-2.95
Ag  0.7357  0.2422  0.2018  3 Te 2.82-2.89, 1 Cl 2.83, 3 Ag 2.89-2.95
Ag  0.8529  0.5721  0.4250  1 Cl 2.50, 1 Te 2.78
Ag  0.8529  0.9279  0.7809  1 Cl 2.50, 1 Te 2.78
Te  0.3508  0.0331  0.6020  6 Ag 2.78-2.96
Te  0.3508  0.2488  0.8176  6 Ag 2.78-2.96
Te  0.4312  0.5331  0.1824  6 Ag 2.78-2.96
Te  0.4312  0.7488  0.3980  6 Ag 2.78-2.96
Cl  0.7473  0.2473  0.5000  2 Ag 2.50
Cl  0.7473  0.7473  0.0000  2 Ag 2.50
Cl  0.8417  0.1236  0.2182  5 Ag 2.77-2.87
Cl  0.9054  0.6236  0.7818  5 Ag 2.77-2.87

Calculated values
**Fermi-level density of states**: 8.73 states/eV per cell
**Formation energy (no corrections)**: -176 meV/atom
**Space-group type**: Ima2 (46)

---

[4]
# Dy2CdBi

A relaxed structure of Dy2CdBi (PBE, the Alexandria database).

Unit cell a=3.9960 b=3.9960 c=6.9028 alpha=90.00 beta=90.00 gamma=90.00
Last column: nearest neighbours and their distance in Å.
Sites, in units of the cell vectors:
Dy  0.0000  0.0000  0.2500  4 Bi 3.31, 4 Cd 3.31, 2 Dy 3.45
Dy  0.0000  0.0000  0.7500  4 Bi 3.31, 4 Cd 3.31, 2 Dy 3.45
Cd  0.5000  0.5000  0.0000  8 Dy 3.31, 2 Bi 3.45
Bi  0.5000  0.5000  0.5000  8 Dy 3.31, 2 Cd 3.45

Calculated values
**Formation energy from the elements**: -0.48 eV/atom
**Fermi-level density of states**: 2.88 states/eV per cell
**Space-group type**: P4/mmm (123)